AlCd2NiO4, relaxed, DFT GGA+U; DFT total energy = -4.9315 eV per atom; density of states at the Fermi level = 1.49 states/eV/f.u.; magnetization = 1.9 μB per cell
1.0
0.000 3.390 5.020
3.285 0.000 5.020
3.285 3.390 0.000
Al Cd Ni O
1 2 1 4
Direct
0.000 0.000 0.000
0.246 0.246 0.254
0.746 0.746 0.754
0.484 0.484 0.516
0.127 0.680 0.320
0.330 0.859 0.670
0.680 0.127 0.873
0.859 0.330 0.141